No. 1
VASP calculation (PBE) on an optimized crystal structure of CaSm2OsN4.

Lattice parameters (Å, degrees): 3.495 6.320 11.850 90.00 90.00 106.05
Sites, in units of the cell vectors:
N (0.740, 0.480, 0.631)
N (0.000, 0.000, 0.500)
N (0.740, 0.480, 0.869)
N (0.426, 0.853, 0.750)
N (0.260, 0.520, 0.369)
N (0.574, 0.147, 0.250)
N (0.260, 0.520, 0.131)
N (0.000, 0.000, 0.000)
Sm (0.632, 0.263, 0.466)
Sm (0.368, 0.737, 0.534)
Sm (0.368, 0.737, 0.966)
Sm (0.632, 0.263, 0.034)
Os (0.144, 0.289, 0.250)
Os (0.856, 0.711, 0.750)
Ca (0.131, 0.261, 0.750)
Ca (0.869, 0.739, 0.250)

Summary:
- N(E_F): 1.6 states/eV/f.u.
- Uncorrected formation energy: -0.73 eV per atom

No. 2
VASP calculation (PBE) on an optimized crystal structure of ZnCrTe.

Lattice parameters (Å, degrees): 6.200 6.199 3.238 74.86 74.86 30.28
Sites, in units of the cell vectors:
Te (0.372, 0.372, 0.628)
Cr (0.000, 0.000, 0.000)
Zn (0.628, 0.628, 0.372)

Summary:
- Energy above the most stable polymorph in this dataset: 307 meV/atom
- N(E_F): 1.1 states/eV/f.u.
- Uncorrected formation energy: 0.32 eV per atom

No. 3
VASP calculation (PBE) on an optimized crystal structure of ZnCu.

Lattice parameters (Å, degrees): 7.406 7.406 4.153 90.00 90.00 90.00
Sites, in units of the cell vectors:
Cu (0.333, 0.667, 0.500)
Cu (0.833, 0.833, 0.000)
Cu (0.833, 0.167, 0.000)
Cu (0.667, 0.333, 0.500)
Cu (0.333, 0.333, 0.500)
Cu (0.167, 0.167, 0.000)
Cu (0.167, 0.833, 0.000)
Cu (0.667, 0.667, 0.500)
Zn (0.000, 0.287, 0.500)
Zn (0.287, 0.000, 0.500)
Zn (0.500, 0.787, 0.000)
Zn (0.500, 0.213, 0.000)
Zn (0.213, 0.500, 0.000)
Zn (0.787, 0.500, 0.000)
Zn (0.000, 0.713, 0.500)
Zn (0.713, 0.000, 0.500)

Summary:
- N(E_F): 0.7 states/eV/f.u.
- Uncorrected energy: -2.6721 eV per atom

No. 4
VASP calculation (PBE) on an optimized crystal structure of RePt4Br.

Lattice parameters (Å, degrees): 5.324 5.324 5.324 60.00 60.00 60.00
Sites, in units of the cell vectors:
Re (0.750, 0.750, 0.750)
Pt (0.874, 0.375, 0.375)
Pt (0.375, 0.375, 0.375)
Pt (0.375, 0.874, 0.375)
Pt (0.375, 0.375, 0.874)
Br (0.000, 0.000, 0.000)

Summary:
- N(E_F): 6.6 states/eV/f.u.
- Uncorrected formation energy: 0.83 eV per atom

No. 5
VASP calculation (PBE) on an optimized crystal structure of Ho3HfFe8.

Lattice parameters (Å, degrees): 5.068 5.068 8.780 73.22 73.22 60.00
Sites, in units of the cell vectors:
Fe (0.938, 0.443, 0.682)
Fe (0.436, 0.436, 0.193)
Fe (0.934, 0.436, 0.193)
Fe (0.443, 0.938, 0.682)
Fe (0.938, 0.938, 0.682)
Fe (0.436, 0.934, 0.193)
Fe (0.188, 0.188, 0.436)
Fe (0.687, 0.687, 0.938)
Hf (0.875, 0.875, 0.375)
Ho (0.500, 0.500, 0.500)
Ho (0.375, 0.375, 0.875)
Ho (0.000, 0.000, 0.001)

Summary:
- N(E_F): 13.1 states/eV/f.u.
- Uncorrected energy: -7.7681 eV per atom

No. 6
VASP calculation (PBE) on an optimized crystal structure of RbAlTl2H.

Lattice parameters (Å, degrees): 6.060 3.636 6.060 90.00 90.00 90.00
Sites, in units of the cell vectors:
Al (0.000, 0.500, 0.000)
Tl (0.000, 0.000, 0.500)
Tl (0.500, 0.000, 0.000)
Rb (0.500, 0.500, 0.500)
H (0.000, 0.000, 0.000)

Summary:
- N(E_F): 2.4 states/eV/f.u.
- Uncorrected energy: -2.2497 eV per atom

No. 7
VASP calculation (PBE) on an optimized crystal structure of ErZnHgPb.

Lattice parameters (Å, degrees): 5.169 5.169 5.169 60.00 60.00 60.00
Sites, in units of the cell vectors:
Hg (0.500, 0.500, 0.500)
Pb (0.750, 0.750, 0.750)
Zn (0.000, 0.000, 0.000)
Er (0.250, 0.250, 0.250)

Summary:
- N(E_F): 3.3 states/eV/f.u.
- Uncorrected energy: -2.5907 eV per atom

No. 8
VASP calculation (PBE) on an optimized crystal structure of K2Cd2Au.

Lattice parameters (Å, degrees): 4.971 4.971 15.838 99.03 99.03 90.00
Sites, in units of the cell vectors:
Cd (0.454, 0.954, 0.909)
Cd (0.296, 0.296, 0.591)
Cd (0.704, 0.704, 0.409)
Cd (0.046, 0.546, 0.091)
K (0.175, 0.175, 0.351)
K (0.925, 0.425, 0.851)
K (0.825, 0.825, 0.649)
K (0.575, 0.075, 0.149)
Au (0.500, 0.500, 0.000)
Au (0.250, 0.750, 0.500)

Summary:
- Energy above the most stable polymorph in this dataset: 73 meV/atom
- N(E_F): 1.6 states/eV/f.u.

No. 9
VASP calculation (PBE) on an optimized crystal structure of LiIr2Br.

Lattice parameters (Å, degrees): 3.565 3.565 11.955 81.42 81.42 90.00
Sites, in units of the cell vectors:
Ir (0.375, 0.379, 0.750)
Ir (0.875, 0.871, 0.750)
Ir (0.621, 0.125, 0.250)
Ir (0.129, 0.625, 0.250)
Li (0.250, 0.750, 0.500)
Li (0.500, 0.500, 0.000)
Br (0.750, 0.250, 0.500)
Br (0.000, 0.000, 0.000)

Summary:
- Energy above the most stable polymorph in this dataset: 249 meV/atom
- N(E_F): 3.3 states/eV/f.u.
- Uncorrected formation energy: 0.35 eV per atom

No. 10
VASP calculation (PBE) on an optimized crystal structure of AcNd2SnN4.

Lattice parameters (Å, degrees): 3.751 6.442 12.443 90.00 90.00 106.93
Sites, in units of the cell vectors:
N (0.000, 0.000, 0.000)
N (0.568, 0.137, 0.250)
N (0.727, 0.453, 0.875)
N (0.273, 0.547, 0.375)
N (0.273, 0.547, 0.125)
N (0.432, 0.863, 0.750)
N (0.000, 0.000, 0.500)
N (0.727, 0.453, 0.625)
Nd (0.371, 0.743, 0.539)
Nd (0.371, 0.743, 0.961)
Nd (0.629, 0.257, 0.039)
Nd (0.629, 0.257, 0.461)
Ac (0.894, 0.788, 0.250)
Ac (0.106, 0.212, 0.750)
Sn (0.159, 0.317, 0.250)
Sn (0.841, 0.683, 0.750)

Summary:
- N(E_F): 1.3 states/eV/f.u.
- Uncorrected formation energy: -0.79 eV per atom

No. 11
VASP calculation (PBE) on an optimized crystal structure of Ba2ZnSe.

Lattice parameters (Å, degrees): 4.121 4.121 8.976 62.68 90.00 90.00
Sites, in units of the cell vectors:
Ba (0.000, 0.511, 0.488)
Ba (0.000, 0.989, 0.012)
Se (0.500, 0.250, 0.250)
Zn (0.500, 0.750, 0.750)

Summary:
- Energy above the most stable polymorph in this dataset: 18 meV/atom
- N(E_F): 2.4 states/eV/f.u.
- Uncorrected formation energy: -0.93 eV per atom

No. 12
VASP calculation (PBE) on an optimized crystal structure of KTlAg2Br6.

Lattice parameters (Å, degrees): 7.394 7.384 8.026 62.47 62.38 59.84
Sites, in units of the cell vectors:
Br (0.159, 0.353, 0.753)
Br (0.261, 0.921, 0.233)
Br (0.352, 0.737, 0.754)
Br (0.922, 0.584, 0.233)
Br (0.585, 0.260, 0.232)
Br (0.737, 0.158, 0.753)
K (0.807, 0.808, 0.578)
Ag (0.515, 0.515, 0.454)
Ag (0.998, 0.000, 0.004)
Tl (0.326, 0.326, 0.021)

Summary:
- N(E_F): 1.4 states/eV/f.u.
- Uncorrected formation energy: -0.65 eV per atom

- The lowest N(E_F) belongs to which entry?
  ZnCu